# 1
DFT (PBE) results for a relaxed Cd4TcCl crystal.

Cell: 5.656 5.656 5.656 Å, 60.00 60.00 60.00°
Sites, in units of the cell vectors:
Cd: 0.878 0.374 0.374
Cd: 0.374 0.374 0.878
Cd: 0.374 0.878 0.374
Cd: 0.374 0.374 0.374
Tc: 0.000 0.000 0.000
Cl: 0.750 0.750 0.750

Results
Total magnetic moment = 0.000 μB per cell
Space group = No. 216
ρ = 7570 kg/m3

# 2
DFT (PBE) results for a relaxed CdTcCl crystal.

Cell: 3.020 3.020 7.626 Å, 90.00 90.00 120.00°
Sites, in units of the cell vectors:
Cd: 0.000 0.000 0.945
Cl: 0.667 0.333 0.418
Tc: 0.333 0.667 0.637

Results
Total magnetic moment = 0.000 μB per cell
Space group = No. 156
ρ = 6780 kg/m3

# 3
DFT (PBE) results for a relaxed CdTcCl6 crystal.

Cell: 6.807 6.807 6.556 Å, 100.33 100.33 108.93°
Sites, in units of the cell vectors:
Cd: 0.000 0.000 0.500
Tc: 0.000 0.000 0.000
Cl: 0.278 0.978 0.263
Cl: 0.978 0.278 0.263
Cl: 0.022 0.722 0.737
Cl: 0.722 0.022 0.737
Cl: 0.254 0.254 0.878
Cl: 0.746 0.746 0.122

Results
Total magnetic moment = 3.000 μB per cell
Space group = No. 12
ρ = 2571 kg/m3

# 4
DFT (PBE) results for a relaxed CdTe2Cl crystal.

Cell: 3.905 3.905 7.365 Å, 90.00 90.00 90.00°
Sites, in units of the cell vectors:
Cl: 0.500 0.500 0.750
Te: 0.000 0.000 0.055
Te: 0.000 0.000 0.445
Cd: 0.500 0.500 0.250

Results
Total magnetic moment = 0.000 μB per cell
Space group = No. 123
ρ = 5960 kg/m3

# 5
DFT (PBE) results for a relaxed CdTe2Cl crystal.

Cell: 6.908 6.908 6.908 Å, 148.38 140.63 51.35°
Sites, in units of the cell vectors:
Cl: 0.250 0.750 0.500
Te: 0.966 0.966 0.000
Te: 0.534 0.534 0.000
Cd: 0.750 0.250 0.500

Results
Total magnetic moment = 0.000 μB per cell
Space group = No. 71
ρ = 6135 kg/m3

# 6
DFT (PBE) results for a relaxed CdTe2Cl crystal.

Cell: 3.799 3.962 9.056 Å, 98.06 90.00 90.00°
Sites, in units of the cell vectors:
Cl: 0.500 0.812 0.671
Te: 0.000 0.026 0.047
Te: 0.500 0.107 0.288
Cd: 0.000 0.555 0.494

Results
Total magnetic moment = 0.000 μB per cell
Space group = No. 6
ρ = 4960 kg/m3

Computed values of raw total energy (unit: eV/atom) for the preceding records, in sequence: -2.053, -4.177, -3.600, -2.304, -2.457, -2.480.